First-principles (PBE) data for crystalline Hg3BiI2 at its relaxed geometry, as listed in Alexandria via LeMat-Bulk.

POSCAR file:
```
Hg3BiI2
1.0
8.6319 0.0000 0.0000
0.0000 7.4129 -0.8151
0.0000 2.2382 7.1138
Bi Hg I
2 6 4
Cartesian
3.6840 1.6078 1.0493
8.0000 8.0433 5.2494
8.0091 6.7385 0.9417
8.0322 5.0031 3.2652
3.7163 4.6481 3.0335
3.6932 6.0763 0.5095
8.0091 3.5748 5.7892
3.6932 2.9126 5.3570
5.8474 8.5228 2.7445
1.5315 3.7077 -0.3980
1.5315 1.1283 3.5542
5.8474 5.9434 6.6967
```

The uncorrected energy is -8.3 eV/f.u. The energy above the most stable polymorph in this dataset comes out at 0.025 eV per atom. As for the symmetry: Cmc2_1. The uncorrected formation energy comes out at -0.4 eV/f.u.

***

First-principles (PBE) data for crystalline Hg2BiI2 at its relaxed geometry, as listed in Alexandria via LeMat-Bulk.

POSCAR file:
```
Hg2BiI2
1.0
-1.3549 3.6327 2.0097
-2.2582 -4.8773 4.8202
7.2168 0.5029 0.8149
Hg I Bi
2 2 1
Cartesian
-1.6264 0.0261 4.7646
5.2301 -0.7678 2.8802
1.1147 0.9894 2.1366
2.4890 -1.7312 5.5082
3.6084 0.2514 0.4074
```

The uncorrected energy is -8.5 eV/f.u. The energy above the most stable polymorph in this dataset comes out at 0.037 eV per atom. As for the symmetry: P-1. The uncorrected formation energy comes out at -0.9 eV/f.u.

***

First-principles (PBE) data for crystalline Hg3BiI2 at its relaxed geometry, as listed in Alexandria via LeMat-Bulk.

POSCAR file:
```
Hg3BiI2
1.0
9.0376 0.0000 0.0000
0.0000 7.7115 -0.0762
0.0000 -3.2911 6.9744
I Hg Bi
4 6 2
Cartesian
6.8798 3.6313 1.6649
6.8798 -0.0045 3.9948
2.3610 4.4250 2.9035
2.3610 0.7892 5.2333
0.1030 5.9901 1.0246
0.1030 -1.5717 5.8703
4.6218 -1.5696 5.8736
4.6218 5.9922 1.0279
6.8792 2.9201 4.5569
2.3604 1.5004 2.3414
2.3626 4.3892 6.8494
6.8814 0.0313 0.0488
```

The uncorrected energy is -8.4 eV/f.u. The energy above the most stable polymorph in this dataset comes out at 0.000 eV per atom. As for the symmetry: Cmcm. The uncorrected formation energy comes out at -0.5 eV/f.u.

***

First-principles (PBE) data for crystalline HgBiI2 at its relaxed geometry, as listed in Alexandria via LeMat-Bulk.

POSCAR file:
```
HgBiI2
1.0
5.7792 1.5836 1.0939
4.4314 7.4169 -0.1334
4.4337 2.4891 6.9862
Hg Bi I
1 1 2
Cartesian
8.0930 9.0573 3.6333
10.9827 9.8423 4.1901
6.5118 5.5166 3.8082
0.8103 0.2352 0.1550
```

The uncorrected energy is -8.0 eV/f.u. The energy above the most stable polymorph in this dataset comes out at 0.000 eV per atom. As for the symmetry: C2. The uncorrected formation energy comes out at -0.7 eV/f.u.

***

First-principles (PBE) data for crystalline HgBi5I2 at its relaxed geometry, as listed in Alexandria via LeMat-Bulk.

POSCAR file:
```
HgBi5I2
1.0
-0.1376 -7.1199 -5.6168
4.6797 -7.5339 2.0675
-5.5162 5.6490 4.4823
Bi I Hg
5 2 1
Cartesian
-1.3846 -1.2522 3.3168
1.4719 -5.3072 -0.7914
2.8705 -9.5110 -2.3345
0.9024 -8.2986 -0.1370
-4.2676 -1.4419 1.0553
0.8921 -4.8612 2.5512
-1.6677 -4.2119 -1.1110
-1.2662 -0.3869 -0.0252
```

The uncorrected energy is -23.3 eV/f.u. As for the symmetry: P1. The uncorrected formation energy comes out at -0.5 eV/f.u.

***

First-principles (PBE) data for crystalline Hg3Bi3I at its relaxed geometry, as listed in Alexandria via LeMat-Bulk.

POSCAR file:
```
Hg3Bi3I
1.0
-1.5363 -7.0606 4.0160
6.4427 -3.5484 -3.7738
4.9469 2.4285 6.1621
I Hg Bi
2 6 6
Cartesian
0.0000 0.0000 0.0000
4.9267 -4.0903 3.2021
1.3212 -4.0812 6.0930
2.0894 -0.5509 4.0850
6.9316 0.0472 2.7347
4.0639 -6.1916 -0.8224
4.4581 -1.1671 -0.3464
0.8425 -4.4174 1.0645
7.3055 -1.4470 0.2507
2.0691 -7.0697 1.1251
2.9421 -1.7089 6.6296
2.8373 -3.5393 -0.8829
4.0842 0.3272 2.1376
0.4686 -2.9232 3.5485
```

The uncorrected energy is -12.0 eV/f.u. As for the symmetry: Pm-3n. The uncorrected formation energy comes out at 2.1 eV/f.u.

***

First-principles (PBE) data for crystalline Hg2Bi2I at its relaxed geometry, as listed in Alexandria via LeMat-Bulk.

POSCAR file:
```
Hg2Bi2I
1.0
8.8479 0.0000 0.0000
0.0000 8.8479 0.0000
0.0000 0.0000 3.9780
Hg Bi I
4 4 2
Cartesian
1.4790 5.9030 1.9890
7.3689 2.9449 1.9890
2.9449 1.4790 1.9890
5.9030 7.3689 1.9890
3.2496 7.6736 0.0000
7.6736 5.5983 0.0000
1.1743 3.2496 0.0000
5.5983 1.1743 0.0000
4.4240 4.4240 0.0000
0.0000 0.0000 0.0000
```

The uncorrected energy is -9.6 eV/f.u. The energy above the most stable polymorph in this dataset comes out at 0.000 eV per atom. As for the symmetry: P4/mbm. The uncorrected formation energy comes out at 0.3 eV/f.u.

***

First-principles (PBE) data for crystalline Hg2BiI2 at its relaxed geometry, as listed in Alexandria via LeMat-Bulk.

POSCAR file:
```
Hg2BiI2
1.0
6.6785 0.0000 -0.0359
0.0000 4.3762 0.0000
-6.6478 0.0000 16.1098
Hg Bi I
4 2 4
Cartesian
-3.1356 0.0000 10.7724
0.1883 2.1881 2.7175
0.1956 0.0000 5.2455
-3.1283 2.1881 13.3004
3.5372 0.0000 5.4590
0.2133 2.1881 13.5139
0.2061 0.0000 11.2995
3.5300 2.1881 3.2446
-3.1312 2.1881 7.7225
-6.4551 0.0000 15.7774
```

The uncorrected energy is -8.4 eV/f.u. The energy above the most stable polymorph in this dataset comes out at 0.067 eV per atom. As for the symmetry: Cm. The uncorrected formation energy comes out at -0.8 eV/f.u.